# GGA-PBEsol AgBi2Au2, optimized geometry
data_AgBi2Au2
_space_group_name_H-M_alt 'P 1'
_space_group_IT_number 1
_cell_length_a 4.197
_cell_length_b 7.317
_cell_length_c 7.317
_cell_angle_alpha 90.00
_cell_angle_beta 90.00
_cell_angle_gamma 90.00
loop_
_space_group_symop_operation_xyz
'x,y,z'
loop_
_atom_site_label
_atom_site_fract_x
_atom_site_fract_y
_atom_site_fract_z
Au1 0.000 0.363 0.863
Au2 0.000 0.637 0.137
Bi1 0.500 0.670 0.830
Bi2 0.500 0.170 0.670
Au3 0.000 0.863 0.637
Bi3 0.500 0.330 0.170
Ag1 0.000 0.000 0.000
Au4 0.000 0.137 0.363
Ag2 0.000 0.500 0.500
Bi4 0.500 0.830 0.330
# D(E_F) in states/eV per atom: 0.42
# ΔE_f in meV/atom: 21
# Calculated volume in Å³/cell: 224.7
# Total magnetic moment in μB/atom: 0.00
# Calculated total energy in eV/atom: -3.93



# GGA-PBEsol Ag2BiAu2, optimized geometry
data_Ag2BiAu2
_space_group_name_H-M_alt 'P 1'
_space_group_IT_number 1
_cell_length_a 3.868
_cell_length_b 3.868
_cell_length_c 7.343
_cell_angle_alpha 105.27
_cell_angle_beta 105.27
_cell_angle_gamma 90.00
loop_
_space_group_symop_operation_xyz
'x,y,z'
loop_
_atom_site_label
_atom_site_fract_x
_atom_site_fract_y
_atom_site_fract_z
Ag1 0.399 0.399 0.799
Au1 0.250 0.750 0.500
Au2 0.750 0.250 0.500
Bi1 0.000 0.000 0.000
Ag2 0.601 0.601 0.201
# D(E_F) in states/eV per atom: 0.41
# ΔE_f in meV/atom: 119
# Calculated volume in Å³/cell: 101.9
# Total magnetic moment in μB/atom: 0.00
# Calculated total energy in eV/atom: -3.63



# GGA-PBEsol Ag3BiAu, optimized geometry
data_Ag3BiAu
_space_group_name_H-M_alt 'P 1'
_space_group_IT_number 1
_cell_length_a 5.198
_cell_length_b 5.198
_cell_length_c 5.198
_cell_angle_alpha 90.00
_cell_angle_beta 90.00
_cell_angle_gamma 90.00
loop_
_space_group_symop_operation_xyz
'x,y,z'
loop_
_atom_site_label
_atom_site_fract_x
_atom_site_fract_y
_atom_site_fract_z
Ag1 0.000 0.500 0.000
Au1 0.500 0.500 0.500
Ag2 0.000 0.000 0.500
Ag3 0.500 0.000 0.000
Bi1 0.000 0.000 0.000
# D(E_F) in states/eV per atom: 0.34
# ΔE_f in meV/atom: 938
# Calculated volume in Å³/cell: 140.5
# Total magnetic moment in μB/atom: 0.00
# Calculated total energy in eV/atom: -2.69